Record 1
VASP calculation (PBE) on a relaxed structure of Sm3YTm6Sc2.

Lattice parameters (Å, degrees): 6.061 6.061 11.544 95.02 95.02 119.97
Sites, in units of the cell vectors:
Sm  0.000  0.000  0.000
Sm  0.333  0.667  0.000
Sm  0.667  0.333  0.000
Y  0.500  0.500  0.500
Tm  0.083  0.419  0.257
Tm  0.244  0.244  0.743
Tm  0.419  0.083  0.257
Tm  0.581  0.917  0.743
Tm  0.756  0.756  0.257
Tm  0.917  0.581  0.743
Sc  0.167  0.833  0.500
Sc  0.833  0.167  0.500

Computed properties:
DOS at the Fermi energy, states/eV/cell: 17.904
Energy of formation from the pure elements, eV/atom: 0.04

***

Record 2
VASP calculation (PBE) on a relaxed structure of Sm4Y2TmSc.

Lattice parameters (Å, degrees): 5.054 5.054 9.901 90.00 90.00 90.00
Sites, in units of the cell vectors:
Sm  0.000  0.500  0.246
Sm  0.000  0.500  0.754
Sm  0.500  0.000  0.246
Sm  0.500  0.000  0.754
Y  0.000  0.000  0.000
Y  0.500  0.500  0.500
Tm  0.000  0.000  0.500
Sc  0.500  0.500  0.000

Computed properties:
DOS at the Fermi energy, states/eV/cell: 11.676
Energy of formation from the pure elements, eV/atom: 0.03

***

Q: The highest DOS at the Fermi energy belongs to which entry?
A: Sm3YTm6Sc2